{"formula": "BaAgSb", "functional": "meta-GGA SCAN", "state": "single point on PBEsol structure", "cell": [[-0.124, 3.600, 1.510], [-1.869, -1.383, 3.138], [6.087, -2.032, 0.308]], "species": ["Ba", "Ag", "Sb"], "frac_coords": [[0.334, 0.334, 0.668], [0.039, 0.039, 0.077], [0.628, 0.628, 0.254]], "formation_energy_uncorrected_mev_per_atom": -329, "vol_a3_per_fu": 88.56, "sg": "Cm, No. 8"}